# 1
15
Lattice="7.2483 0.0000 0.0000 -3.6242 6.2772 0.0000 0.0000 0.0000 8.7508" Properties=species:S:1:pos:R:3 comment="MnTl3Ag2Cl9, optimized geometry, DFT PBE" magnetic_moment_mub_per_fu=3.057 e_form_raw_ev_per_atom=-0.82 pbc="T T T"
Mn 0.0000 0.0000 0.0000
Tl 0.0000 0.0000 4.3754
Tl 0.0000 4.1848 1.8948
Tl 3.6242 2.0924 6.8560
Ag 0.0000 4.1848 5.9578
Ag 3.6242 2.0924 2.7930
Cl -1.8121 3.1386 4.3754
Cl 0.0000 1.9179 7.3911
Cl -1.9632 5.3183 7.3911
Cl 1.6610 0.9590 1.3596
Cl 3.6242 0.0000 4.3754
Cl 1.8121 3.1386 4.3754
Cl 1.9632 5.3183 7.3911
Cl 5.5874 0.9590 1.3596
Cl 3.6242 4.3593 1.3596

=====

# 2
10
Lattice="6.2591 0.0000 0.0000 0.0000 6.2591 0.0000 0.0000 0.0000 4.4917" Properties=species:S:1:pos:R:3 comment="In2Tc2P, optimized geometry, DFT PBE" magnetic_moment_mub_per_fu=0.000 formation_energy_ev_per_atom=0.000 de_polymorph_mev_per_atom=0.0 pbc="T T T"
In 1.0191 2.1105 0.0000
In 2.1105 5.2400 0.0000
In 4.1486 1.0191 0.0000
In 5.2400 4.1486 0.0000
Tc 0.9748 4.1043 2.2459
Tc 2.1548 0.9748 2.2459
Tc 4.1043 5.2843 2.2459
Tc 5.2843 2.1548 2.2459
P 0.0000 0.0000 2.2459
P 3.1296 3.1296 2.2459

=====

# 3
4
Lattice="4.0615 -1.4870 0.0000 4.0615 1.4870 0.0000 -3.7285 0.0000 5.0541" Properties=species:S:1:pos:R:3 comment="TiOsRuS, optimized geometry, DFT PBE" magnetic_moment_mub_per_fu=0.000 de_polymorph_mev_per_atom=211.2 e_form_raw_ev_per_atom=-0.13 pbc="T T T"
Ti 0.0000 0.0000 0.0000
Os -1.3369 0.0000 3.3328
Ru 2.2916 0.0000 1.0250
S 0.9152 0.0000 2.9172

=====

# 4
8
Lattice="5.5914 0.0000 0.0000 -2.7957 4.8423 0.0000 0.0000 0.0000 4.5001" Properties=species:S:1:pos:R:3 comment="Mn3Sn, optimized geometry, DFT PBE" magnetic_moment_mub_per_fu=9.236 formation_energy_ev_per_atom=0.183 pbc="T T T"
Mn 0.0000 1.5685 1.1250
Mn -1.4374 4.0580 1.1250
Mn 1.3583 0.7842 3.3751
Mn 1.4374 4.0580 1.1250
Mn 4.2330 0.7842 3.3751
Mn 2.7957 3.2738 3.3751
Sn 0.0000 3.2282 3.3751
Sn 2.7957 1.6141 1.1250

=====

# 5
12
Lattice="5.3225 0.0000 0.0000 -2.6613 4.6094 0.0000 0.0000 0.0000 10.3880" Properties=species:S:1:pos:R:3 comment="HfS2IO8, optimized geometry, DFT PBE" magnetic_moment_mub_per_fu=1.006 e_form_raw_ev_per_atom=-1.65 pbc="T T T"
Hf 0.0000 0.0000 0.0000
S 0.0000 3.0729 8.6247
S 2.6613 1.5365 1.7634
I 0.0000 0.0000 5.1940
O 0.0000 1.6871 9.2180
O -1.2001 3.7659 9.2180
O 0.0000 3.0729 7.2060
O 1.4611 0.8436 1.1700
O 1.2001 3.7659 9.2180
O 2.6613 1.5365 3.1821
O 3.8614 0.8436 1.1700
O 2.6613 2.9223 1.1700

=====

# 6
15
Lattice="4.2407 2.4484 7.5010 -4.2407 2.4484 7.5010 0.0000 -4.8967 7.5010" Properties=species:S:1:pos:R:3 comment="K3Ac3TiS8, optimized geometry, DFT PBE" magnetic_moment_mub_per_fu=0.000 e_form_raw_ev_per_atom=-1.71 pbc="T T T"
K -2.1203 -1.2242 7.5010
K -2.1203 1.2242 15.0019
K 0.0000 2.4484 7.5010
Ac -4.2407 0.0000 11.2514
Ac -2.1203 1.2242 3.7505
Ac 2.1203 1.2242 3.7505
Ti 0.0000 0.0000 11.2515
S 0.0000 0.0000 5.3995
S -1.8172 -1.0491 12.6685
S 0.0000 -2.0983 9.8344
S -1.8172 1.0491 9.8344
S 1.8172 -1.0491 12.6685
S 0.0000 2.0983 12.6685
S 1.8172 1.0491 9.8344
S 0.0000 0.0000 17.1034

=====

# 7
13
Lattice="2.6302 -6.2907 0.0000 2.6302 6.2907 0.0000 -2.3842 0.0000 6.2036" Properties=species:S:1:pos:R:3 comment="PmGa9Ni3, optimized geometry, DFT PBE" magnetic_moment_mub_per_fu=0.000 formation_energy_ev_per_atom=-0.339 pbc="T T T"
Pm 0.0000 0.0000 0.0000
Ga -1.1921 0.0000 3.1018
Ga 0.1486 4.0238 4.1213
Ga 0.2757 1.3966 4.8897
Ga 2.7275 4.0238 2.0823
Ga 2.6005 1.3966 1.3139
Ga 0.2757 -1.3966 4.8897
Ga 0.1486 -4.0238 4.1213
Ga 2.6005 -1.3966 1.3139
Ga 2.7275 -4.0238 2.0823
Ni 1.3151 3.1454 0.0000
Ni 1.3151 -3.1454 0.0000
Ni 1.4381 0.0000 3.1018

=====

# 8
18
Lattice="3.6564 2.1110 5.8357 -3.6564 2.1110 5.8357 0.0000 -4.2220 5.8357" Properties=species:S:1:pos:R:3 comment="Ba2Zn3PdF12, optimized geometry, DFT PBE" magnetic_moment_mub_per_fu=2.014 e_form_raw_ev_per_atom=-2.53 pbc="T T T"
Ba 0.0000 0.0000 1.9819
Ba 0.0000 0.0000 15.5254
Zn -1.8282 -1.0555 5.8357
Zn -1.8282 1.0555 11.6715
Zn 0.0000 2.1110 5.8357
Pd 0.0000 0.0000 8.7536
F -1.9160 -1.1062 7.9592
F 0.0000 -1.7979 6.0916
F -1.5570 0.8989 6.0916
F -1.5570 -0.8989 11.4156
F 0.0000 -2.2124 9.5481
F -1.9160 1.1062 9.5481
F 1.9160 -1.1062 7.9592
F 0.0000 2.2124 7.9592
F 1.5570 0.8989 6.0916
F 1.5570 -0.8989 11.4156
F 0.0000 1.7979 11.4156
F 1.9160 1.1062 9.5481

=====

# 9
8
Lattice="-2.1109 4.7215 6.7130 2.1109 -4.7215 6.7130 2.1109 4.7215 -6.7130" Properties=species:S:1:pos:R:3 comment="RbTl5Hg2, optimized geometry, DFT PBE" magnetic_moment_mub_per_fu=0.000 formation_energy_ev_per_atom=-0.064 pbc="T T T"
Rb 0.0000 0.0000 0.0000
Tl 2.1109 2.8695 -1.8964
Tl 2.1109 2.8695 1.8964
Tl 0.0000 4.7215 0.0000
Tl 0.0000 1.8520 4.8167
Tl 0.0000 1.8520 8.6094
Hg 2.1109 0.0000 3.1386
Hg 0.0000 4.7215 3.5744

=====

# 10
5
Lattice="5.2962 0.0000 0.0000 0.0000 5.2962 0.0000 0.0000 0.0000 5.2668" Properties=species:S:1:pos:R:3 comment="HgAs2SBr, optimized geometry, DFT PBE" magnetic_moment_mub_per_fu=0.483 de_polymorph_mev_per_atom=481.1 e_form_raw_ev_per_atom=1.11 pbc="T T T"
Hg 0.0000 0.0000 0.0000
As 0.0000 2.6481 0.0000
As 2.6481 0.0000 0.0000
S 2.6481 2.6481 2.6334
Br 0.0000 0.0000 2.6334

=====

# 11
16
Lattice="3.7556 0.0000 0.0000 0.0000 9.3019 0.0000 0.0000 0.0000 10.3943" Properties=species:S:1:pos:R:3 comment="WBr, optimized geometry, DFT PBE" magnetic_moment_mub_per_fu=0.000 de_polymorph_mev_per_atom=191.7 e_form_raw_ev_per_atom=0.27 pbc="T T T"
W 0.0610 1.8738 3.3492
W 0.1983 1.4689 5.9032
W 1.6794 7.8330 0.7060
W 1.8168 7.4281 8.5464
W 1.9388 2.7771 7.0450
W 2.0761 3.1821 4.4911
W 3.5572 6.1198 9.6882
W 3.6946 6.5247 1.8479
Br 0.8552 0.9898 0.8160
Br 0.8938 5.2955 7.2545
Br 0.9840 4.0064 2.0574
Br 1.0226 8.3121 6.0131
Br 2.7330 3.6612 9.5783
Br 2.7715 8.6574 3.1397
Br 2.8618 0.6445 8.3368
Br 2.9004 5.6407 4.3811

=====

# 12
4
Lattice="3.1385 0.0000 0.0000 0.0000 4.0129 0.0000 0.0000 0.0000 5.1769" Properties=species:S:1:pos:R:3 comment="ZnReAs2, optimized geometry, DFT PBE" magnetic_moment_mub_per_fu=0.000 formation_energy_ev_per_atom=0.379 pbc="T T T"
Zn 0.0000 0.0000 0.0000
Re 1.5693 2.0065 3.4560
As 0.0000 0.0000 2.6736
As 1.5693 2.0065 0.8766